{
  "formula": "MgPd2Au2",
  "functional": "PBE",
  "state": "relaxed",
  "lattice": [[4.070, 0.000, 0.000], [2.035, 4.289, -1.423], [2.035, -1.414, 10.038]],
  "species": ["Au", "Au", "Au", "Au", "Pd", "Pd", "Pd", "Pd", "Mg", "Mg"],
  "fractional_positions": [[0.899, 0.751, 0.450], [0.701, 0.746, 0.851], [0.299, 0.254, 0.149], [0.101, 0.249, 0.550], [0.098, 0.753, 0.051], [0.700, 0.251, 0.349], [0.300, 0.749, 0.651], [0.902, 0.247, 0.949], [0.501, 0.753, 0.246], [0.499, 0.247, 0.754]],
  "formation_energy_ev_per_atom": -0.418,
  "de_polymorph_mev_per_atom": 0.0
}